## A
A plane-wave DFT calculation with PBE was carried out for crystalline BaSr2Ni at its relaxed geometry.

Computed properties:
- SG = Immm
- magnetic moment (Bohr magnetons per cell) = 0.00
- crystal system = orthorhombic

Cell lengths 7.410, 7.410, 7.410 Å; angles 148.97, 129.06, 60.86 degrees
Sites, in units of the cell vectors:
Ba 0.000 0.000 0.000
Sr 0.326 0.826 0.500
Sr 0.674 0.174 0.500
Ni 0.500 0.500 0.000

## B
A plane-wave DFT calculation with PBE was carried out for crystalline BaSr2Ni at its relaxed geometry.

Computed properties:
- SG = I-4m2
- magnetic moment (Bohr magnetons per cell) = 0.00
- crystal system = tetragonal

Cell lengths 6.792, 6.792, 6.792 Å; angles 135.20, 135.20, 65.22 degrees
Sites, in units of the cell vectors:
Ba 0.000 0.000 0.000
Sr 0.500 0.500 0.000
Sr 0.750 0.250 0.500
Ni 0.250 0.750 0.500

## C
A plane-wave DFT calculation with PBE was carried out for crystalline BaSr2Ni at its relaxed geometry.

Computed properties:
- SG = F-43m
- magnetic moment (Bohr magnetons per cell) = 0.00
- crystal system = cubic

Cell lengths 5.958, 5.958, 5.958 Å; angles 60.00, 60.00, 60.00 degrees
Sites, in units of the cell vectors:
Ba 0.000 0.000 0.000
Sr 0.500 0.500 0.500
Sr 0.750 0.750 0.750
Ni 0.250 0.250 0.250

## D
A plane-wave DFT calculation with PBE was carried out for crystalline BaSr2Ni at its relaxed geometry.

Computed properties:
- SG = I-42d
- magnetic moment (Bohr magnetons per cell) = 0.00
- crystal system = tetragonal

Cell lengths 8.653, 8.653, 8.653 Å; angles 119.83, 119.83, 90.30 degrees
Sites, in units of the cell vectors:
Ba 0.000 0.000 0.000
Ba 0.750 0.250 0.500
Sr 0.369 0.625 0.244
Sr 0.375 0.619 0.744
Sr 0.381 0.125 0.756
Sr 0.875 0.631 0.256
Ni 0.250 0.750 0.500
Ni 0.500 0.500 0.000

Relative calculated energies, zero for the most stable structure, unit meV per atom: A 0; B 300; C 319; D 274.